Record 1
TbTmTlRh: optimized geometry, PBE-GGA.

The structure belongs to space group P4mm (No. 99); the cell edges are 3.511, 3.511 and 7.616 Å and the angles 90.00°, 90.00° and 90.00°. The distinct sites, in fractional coordinates, are Tb at (0.000, 0.000, 0.000), Tm at (0.000, 0.000, 0.571), Tl at (0.500, 0.500, 0.290) and Rh at (0.500, 0.500, 0.776).

As for the relative energy among the computed polymorphs: 0.00 eV per formula unit. For the formation energy, the calculation gives -60.7 kJ/mol of atoms.

Record 2
TbTmTlRh: optimized geometry, PBE-GGA.

The structure belongs to space group F-43m (No. 216); the cell edges are 7.202, 7.202 and 7.202 Å and the angles 90.00°, 90.00° and 90.00°. The distinct sites, in fractional coordinates, are Tb at (0.000, 0.000, 0.000), Tm at (0.000, 0.000, 0.500), Tl at (0.250, 0.250, 0.750) and Rh at (0.250, 0.250, 0.250).

As for the relative energy among the computed polymorphs: 0.50 eV per formula unit. For the formation energy, the calculation gives -48.7 kJ/mol of atoms.

Record 3
TbYTlRh: optimized geometry, PBE-GGA.

The structure belongs to space group F-43m (No. 216); the cell edges are 7.258, 7.258 and 7.258 Å and the angles 90.00°, 90.00° and 90.00°. The distinct sites, in fractional coordinates, are Tb at (0.000, 0.000, 0.000), Y at (0.000, 0.000, 0.500), Tl at (0.250, 0.250, 0.750) and Rh at (0.250, 0.250, 0.250).

As for the relative energy among the computed polymorphs: 0.45 eV per formula unit. For the formation energy, the calculation gives -47.9 kJ/mol of atoms.

Record 4
TbYTlRh: optimized geometry, PBE-GGA.

The structure belongs to space group P4mm (No. 99); the cell edges are 3.551, 3.551 and 7.616 Å and the angles 90.00°, 90.00° and 90.00°. The distinct sites, in fractional coordinates, are Tb at (0.000, 0.000, 0.000), Y at (0.000, 0.000, 0.568), Tl at (0.500, 0.500, 0.285) and Rh at (0.500, 0.500, 0.786).

As for the relative energy among the computed polymorphs: 0.00 eV per formula unit. For the formation energy, the calculation gives -58.8 kJ/mol of atoms.

Record 5
TbTlZnRh: optimized geometry, PBE-GGA.

The structure belongs to space group F-43m (No. 216); the cell edges are 6.836, 6.836 and 6.836 Å and the angles 90.00°, 90.00° and 90.00°. The distinct sites, in fractional coordinates, are Tb at (0.000, 0.000, 0.000), Tl at (0.000, 0.000, 0.500), Zn at (0.250, 0.250, 0.250) and Rh at (0.250, 0.250, 0.750).

For the formation energy, the calculation gives -28.6 kJ/mol of atoms.

Record 6
TbTmRh4: optimized geometry, PBE-GGA.

The structure belongs to space group F-43m (No. 216); the cell edges are 7.531, 7.531 and 7.531 Å and the angles 90.00°, 90.00° and 90.00°. The distinct sites, in fractional coordinates, are Tb at (0.000, 0.000, 0.000), Tm at (0.250, 0.250, 0.750) and Rh at (0.125, 0.125, 0.375).

For the formation energy, the calculation gives -72.4 kJ/mol of atoms.